# 1
## TaZnO2 (PBE-GGA)

Data for a relaxed structure of TaZnO2.

Lattice parameters (Å, degrees): 5.9670 5.9670 9.5351 90.00 90.00 90.00
Space group I-42d (No. 122)
Asymmetric unit:
Ta (0.0000, 0.0000, 0.0000) (multiplicity 4)
Zn (0.0000, 0.0000, 0.5000) (multiplicity 4)
O (0.0010, 0.2500, 0.1250) (multiplicity 8)

The formation energy (no corrections) comes out at -1.468 eV per atom. For the total magnetic moment, the calculation gives 0.00 μB/f.u. The excess energy over the best structure of this formula in the dataset comes out at 144 meV per atom.



# 2
## PmUGaO6 (PBE-GGA)

Data for a relaxed structure of PmUGaO6.

Lattice parameters (Å, degrees): 5.3698 5.3698 10.2295 90.00 90.00 120.00
Space group P-31c (No. 163)
Asymmetric unit:
Pm (0.0000, 0.0000, 0.0000) (multiplicity 2)
U (0.3333, 0.6667, 0.2500) (multiplicity 2)
Ga (0.3333, 0.6667, 0.7500) (multiplicity 2)
O (0.0099, 0.3610, 0.6404) (multiplicity 12)

The formation energy (no corrections) comes out at -2.822 eV per atom. For the total magnetic moment, the calculation gives 0.00 μB/f.u.



# 3
## Tl2CuRh (PBE-GGA)

Data for a relaxed structure of Tl2CuRh.

Lattice parameters (Å, degrees): 6.6880 6.6880 6.6880 90.00 90.00 90.00
Space group Fm-3m (No. 225)
Asymmetric unit:
Tl (0.2500, 0.2500, 0.2500) (multiplicity 8)
Cu (0.0000, 0.0000, 0.0000) (multiplicity 4)
Rh (0.0000, 0.0000, 0.5000) (multiplicity 4)

The energy of formation comes out at 1.089 eV per formula unit. For the total magnetic moment, the calculation gives 0.00 μB/f.u. The excess energy over the best structure of this formula in the dataset comes out at 119 meV per atom.



# 4
## TaMn2Br (PBE-GGA)

Data for a relaxed structure of TaMn2Br.

Lattice parameters (Å, degrees): 3.2603 3.2603 6.4946 90.00 90.00 90.00
Space group P4/mmm (No. 123)
Asymmetric unit:
Ta (0.0000, 0.0000, 0.0000) (multiplicity 1)
Mn (0.5000, 0.5000, 0.2016) (multiplicity 2)
Br (0.0000, 0.0000, 0.5000) (multiplicity 1)

The formation energy (no corrections) comes out at 0.302 eV per atom. For the total magnetic moment, the calculation gives 4.53 μB/f.u. The excess energy over the best structure of this formula in the dataset comes out at 92 meV per atom.



# 5
## CrHgTe (PBE-GGA)

Data for a relaxed structure of CrHgTe.

Lattice parameters (Å, degrees): 3.6991 3.6991 12.9820 90.00 90.00 90.00
Space group I4mm (No. 107)
Asymmetric unit:
Cr (0.0000, 0.0000, 0.0000) (multiplicity 2)
Hg (0.0000, 0.0000, 0.7237) (multiplicity 2)
Te (0.0000, 0.0000, 0.4352) (multiplicity 2)

The formation energy (no corrections) comes out at 0.207 eV per atom. For the total magnetic moment, the calculation gives 4.00 μB/f.u. The excess energy over the best structure of this formula in the dataset comes out at 88 meV per atom.



# 6
## Cd2SbAsCl (PBE-GGA)

Data for a relaxed structure of Cd2SbAsCl.

Lattice parameters (Å, degrees): 5.5010 5.5010 5.2923 90.00 90.00 90.00
Space group P4/mmm (No. 123)
Asymmetric unit:
Cd (0.0000, 0.5000, 0.0000) (multiplicity 2)
Sb (0.0000, 0.0000, 0.5000) (multiplicity 1)
As (0.0000, 0.0000, 0.0000) (multiplicity 1)
Cl (0.5000, 0.5000, 0.5000) (multiplicity 1)

The formation energy (no corrections) comes out at 0.219 eV per atom. For the total magnetic moment, the calculation gives 0.00 μB/f.u.



Respective density values: 5.4, 7.1, 12.8, 8.9, 7.1, 4.7 g/cm3.